No. 1
# SrTiIrO6, optimized geometry, DFT PBE
data_SrTiIrO6
_cell_length_a 5.215
_cell_length_b 5.215
_cell_length_c 5.428
_cell_angle_alpha 90.00
_cell_angle_beta 90.00
_cell_angle_gamma 60.00
_symmetry_space_group_name_H-M 'P 1'
_symmetry_Int_Tables_number 1
_symmetry_space_group_name_Hall 'P 1'
loop_
_atom_site_label
_atom_site_fract_x
_atom_site_fract_y
_atom_site_fract_z
O1 0.004 0.622 0.700
Ti1 0.667 0.667 0.500
Sr1 0.000 0.000 0.000
O2 0.374 0.622 0.300
O3 0.374 0.004 0.700
O4 0.004 0.374 0.300
O5 0.622 0.004 0.300
O6 0.622 0.374 0.700
Ir1 0.333 0.333 0.500
# space-group type: P312, No. 149
# uncorrected energy: -66.03 eV for the cell shown
# total magnetization: 3.009 μB per formula unit
# raw formation energy: -191.3 kJ per mole of atoms
# density of states at the Fermi level: 1.424 states/eV/f.u.



No. 2
# SrTl2IrO6, optimized geometry, DFT PBE
data_SrTl2IrO6
_cell_length_a 5.837
_cell_length_b 6.027
_cell_length_c 8.392
_cell_angle_alpha 90.00
_cell_angle_beta 89.78
_cell_angle_gamma 90.00
_symmetry_space_group_name_H-M 'P 1'
_symmetry_Int_Tables_number 1
_symmetry_space_group_name_Hall 'P 1'
loop_
_atom_site_label
_atom_site_fract_x
_atom_site_fract_y
_atom_site_fract_z
O1 0.383 0.910 0.711
O2 0.782 0.833 0.537
Tl1 0.007 0.967 0.272
O3 0.883 0.590 0.211
O4 0.718 0.333 0.963
O5 0.218 0.167 0.463
O6 0.282 0.667 0.037
O7 0.338 0.744 0.407
Tl2 0.507 0.533 0.772
Sr1 0.500 0.000 0.000
O8 0.162 0.244 0.093
O9 0.662 0.256 0.593
O10 0.617 0.090 0.289
Sr2 0.000 0.500 0.500
Ir1 0.500 0.000 0.500
Tl3 0.993 0.033 0.728
O11 0.117 0.410 0.789
Tl4 0.493 0.467 0.228
O12 0.838 0.756 0.907
Ir2 0.000 0.500 0.000
# space-group type: P2_1/c, No. 14
# uncorrected energy: -113.11 eV for the cell shown
# total magnetization: 1.214 μB per formula unit
# raw formation energy: -111.2 kJ per mole of atoms
# density of states at the Fermi level: 3.378 states/eV/f.u.



No. 3
# SrTl2IrO, optimized geometry, DFT PBE
data_SrTl2IrO
_cell_length_a 4.942
_cell_length_b 4.683
_cell_length_c 4.942
_cell_angle_alpha 90.00
_cell_angle_beta 90.00
_cell_angle_gamma 90.00
_symmetry_space_group_name_H-M 'P 1'
_symmetry_Int_Tables_number 1
_symmetry_space_group_name_Hall 'P 1'
loop_
_atom_site_label
_atom_site_fract_x
_atom_site_fract_y
_atom_site_fract_z
Ir1 0.500 0.500 0.500
Tl1 0.000 0.000 0.500
Sr1 0.000 0.500 0.000
O1 0.000 0.000 0.000
Tl2 0.500 0.000 0.000
# space-group type: P4/mmm, No. 123
# uncorrected energy: -21.15 eV for the cell shown
# total magnetization: 0.000 μB per formula unit
# raw formation energy: -17.6 kJ per mole of atoms
# density of states at the Fermi level: 3.885 states/eV/f.u.



Q: The highest uncorrected energy belongs to which entry?
A: SrTl2IrO



Q: The highest uncorrected energy belongs to which entry?
A: SrTl2IrO



Copy entry 2 word for word.
# SrTl2IrO6, optimized geometry, DFT PBE
data_SrTl2IrO6
_cell_length_a 5.837
_cell_length_b 6.027
_cell_length_c 8.392
_cell_angle_alpha 90.00
_cell_angle_beta 89.78
_cell_angle_gamma 90.00
_symmetry_space_group_name_H-M 'P 1'
_symmetry_Int_Tables_number 1
_symmetry_space_group_name_Hall 'P 1'
loop_
_atom_site_label
_atom_site_fract_x
_atom_site_fract_y
_atom_site_fract_z
O1 0.383 0.910 0.711
O2 0.782 0.833 0.537
Tl1 0.007 0.967 0.272
O3 0.883 0.590 0.211
O4 0.718 0.333 0.963
O5 0.218 0.167 0.463
O6 0.282 0.667 0.037
O7 0.338 0.744 0.407
Tl2 0.507 0.533 0.772
Sr1 0.500 0.000 0.000
O8 0.162 0.244 0.093
O9 0.662 0.256 0.593
O10 0.617 0.090 0.289
Sr2 0.000 0.500 0.500
Ir1 0.500 0.000 0.500
Tl3 0.993 0.033 0.728
O11 0.117 0.410 0.789
Tl4 0.493 0.467 0.228
O12 0.838 0.756 0.907
Ir2 0.000 0.500 0.000
# space-group type: P2_1/c, No. 14
# uncorrected energy: -113.11 eV for the cell shown
# total magnetization: 1.214 μB per formula unit
# raw formation energy: -111.2 kJ per mole of atoms
# density of states at the Fermi level: 3.378 states/eV/f.u.



Q: Which value of raw formation energy does entry 1 give?
A: -191.3 kJ per mole of atoms